No. 1
Computed, not measured: crystalline MgV2NiAs at its relaxed geometry at the PBE-GGA level of DFT.

## Properties
As for the symmetry: P4/mmm, No. 123. The calculation puts the formation energy at 4.18 eV/f.u. As for the density of states at the Fermi level: 6.228 states/eV per cell. The total energy comes out at -5.217 eV/atom.

```
MgV2NiAs
1.0
-4.556 0.425 0.325
-0.546 -3.143 -3.552
-0.103 -3.427 3.048
As Mg Ni V
1 1 1 2
Cartesian
0.000 0.000 0.000 As
-0.273 -1.571 -1.776 Mg
-2.602 -3.072 -0.090 Ni
-0.051 -1.713 1.524 V
-2.278 0.213 0.162 V
```

=====

No. 2
Computed, not measured: crystalline ZrTlMo2 at its relaxed geometry at the PBE-GGA level of DFT.

## Properties
As for the symmetry: P2/m, No. 10. The calculation puts the formation energy at 1.42 eV/f.u. The calculation puts the polymorph energy (0 for the lowest one) at 0.844 eV/f.u. As for the density of states at the Fermi level: 3.719 states/eV per cell. The total energy comes out at -7.790 eV/atom.

```
ZrTlMo2
1.0
-1.675 -3.666 -2.649
1.430 -1.938 1.778
-4.117 -0.761 3.657
Tl Mo Zr
1 2 1
Cartesian
-1.509 -2.508 0.034 Tl
-1.621 -1.267 2.778 Mo
-3.840 -0.844 3.596 Mo
-2.853 -3.858 2.752 Zr
```

=====

No. 3
Computed, not measured: crystalline InBiOs2 at its relaxed geometry at the PBE-GGA level of DFT.

## Properties
As for the symmetry: Fm-3m, No. 225. The calculation puts the formation energy at 3.22 eV/f.u. The calculation puts the polymorph energy (0 for the lowest one) at 0.000 eV/f.u. As for the density of states at the Fermi level: 1.380 states/eV per cell. The total energy comes out at -6.464 eV/atom.

```
InBiOs2
1.0
0.000 3.315 3.315
3.315 0.000 3.315
3.315 3.315 0.000
Os In Bi
2 1 1
Cartesian
4.972 4.972 4.972 Os
1.657 1.657 1.657 Os
0.000 0.000 0.000 In
3.315 3.315 3.315 Bi
```

=====

No. 4
Computed, not measured: crystalline Hf2BSb at its relaxed geometry at the PBE-GGA level of DFT.

## Properties
As for the symmetry: I-42d, No. 122. Its uncorrected formation energy is -0.12 eV/atom. The calculation puts the polymorph energy (0 for the lowest one) at 1.852 eV/f.u. As for the density of states at the Fermi level: 1.256 states/eV per cell. The total energy comes out at -7.799 eV/atom.

```
Hf2BSb
1.0
-6.747 1.486 -1.453
-1.797 -1.690 6.615
-3.821 2.786 3.441
B Sb Hf
2 2 4
Cartesian
-4.272 -0.102 2.581 B
-4.945 0.497 6.318 B
-7.420 2.085 2.284 Sb
0.000 0.000 0.000 Sb
-6.173 1.916 4.896 Hf
-3.309 -0.089 4.729 Hf
-5.009 1.329 0.862 Hf
-10.238 2.008 6.717 Hf
```

=====

No. 5
Computed, not measured: crystalline Sm2CdSnO6 at its relaxed geometry at the PBE-GGA level of DFT.

## Properties
As for the symmetry: R3, No. 146. Its uncorrected formation energy is -2.41 eV/atom. As for the density of states at the Fermi level: 0.000 states/eV per cell. The total energy comes out at -6.817 eV/atom.

```
Sm2CdSnO6
1.0
-3.027 -3.415 -3.605
1.644 -0.548 -5.552
2.447 -5.212 -1.808
O Sm Sn Cd
6 2 1 1
Cartesian
1.562 -2.517 -6.514 O
-1.332 -4.890 -7.170 O
2.186 -4.675 -4.194 O
1.724 -5.820 -6.693 O
0.029 -6.403 -4.557 O
-0.835 -3.410 -3.705 O
2.205 -4.888 -1.911 Sm
0.256 -4.219 -5.600 Sm
-0.306 -1.529 -2.986 Sn
0.336 -6.263 -8.421 Cd
```

=====

No. 6
Computed, not measured: crystalline PaAgPO5 at its relaxed geometry at the PBE-GGA level of DFT.

## Properties
As for the symmetry: C2/c, No. 15. Its uncorrected formation energy is -2.32 eV/atom. As for the density of states at the Fermi level: 6.913 states/eV per cell. The total energy comes out at -7.641 eV/atom.

```
PaAgPO5
1.0
5.963 0.508 -0.165
-1.254 5.852 -0.165
-2.169 -2.929 7.471
O P Ag Pa
10 2 2 2
Cartesian
-1.245 4.711 1.703 O
0.890 2.063 6.221 O
3.221 0.402 2.684 O
-1.640 1.733 6.420 O
1.650 1.368 0.920 O
3.785 -1.281 5.438 O
4.180 1.698 0.722 O
2.798 2.918 2.486 O
-0.681 3.028 4.457 O
-0.258 0.513 4.656 O
-0.445 1.851 5.438 P
2.985 1.580 1.703 P
2.017 0.028 5.438 Ag
0.523 3.402 1.703 Ag
-1.084 -1.465 3.736 Pa
0.000 0.000 0.000 Pa
```

=====

No. 7
Computed, not measured: crystalline AlMoBr2 at its relaxed geometry at the PBE-GGA level of DFT.

## Properties
As for the symmetry: P2/m, No. 10. Its uncorrected formation energy is 0.50 eV/atom. The calculation puts the polymorph energy (0 for the lowest one) at 2.825 eV/f.u. As for the density of states at the Fermi level: 3.285 states/eV per cell. The total energy comes out at -3.983 eV/atom.

```
AlMoBr2
1.0
-0.288 -4.454 -0.620
1.492 0.326 -3.039
4.878 -0.633 2.280
Br Al Mo
2 1 1
Cartesian
0.126 0.010 -0.129 Br
3.059 -0.163 -0.250 Br
4.633 -2.457 -0.879 Al
1.448 -2.303 -0.500 Mo
```

=====

No. 8
Computed, not measured: crystalline AsSO2 at its relaxed geometry at the PBE-GGA level of DFT.

## Properties
As for the symmetry: Fm-3m, No. 225. Its uncorrected formation energy is 0.67 eV/atom. The calculation puts the polymorph energy (0 for the lowest one) at 3.301 eV/f.u. As for the density of states at the Fermi level: 2.925 states/eV per cell. The total energy comes out at -4.001 eV/atom.

```
AsSO2
1.0
0.000 2.850 2.850
2.850 0.000 2.850
2.850 2.850 0.000
As O S
1 2 1
Cartesian
2.850 2.850 2.850 As
1.425 1.425 1.425 O
4.276 4.276 4.276 O
0.000 0.000 0.000 S
```

=====

No. 9
Computed, not measured: crystalline CsCd2Pb at its relaxed geometry at the PBE-GGA level of DFT.

## Properties
As for the symmetry: P4/nmm, No. 129. The calculation puts the formation energy at -0.02 eV/f.u. As for the density of states at the Fermi level: 4.102 states/eV per cell. The total energy comes out at -1.604 eV/atom.

```
CsCd2Pb
1.0
-4.443 0.776 -2.258
-2.213 -3.129 3.278
-2.176 9.421 7.522
Cd Pb Cs
4 2 2
Cartesian
-4.228 9.073 5.806 Cd
-4.416 3.534 4.272 Cd
-1.276 -0.829 2.226 Cd
-1.088 4.710 3.761 Cd
-1.888 1.817 4.339 Pb
-3.617 6.427 3.694 Pb
-2.731 2.596 0.634 Cs
-2.773 5.648 7.398 Cs
```

=====

No. 10
Computed, not measured: crystalline Pr2TcPd at its relaxed geometry at the PBE-GGA level of DFT.

## Properties
As for the symmetry: P4/mmm, No. 123. The calculation puts the formation energy at -0.77 eV/f.u. As for the density of states at the Fermi level: 4.207 states/eV per cell. The total energy comes out at -6.471 eV/atom.

```
Pr2TcPd
1.0
-0.712 -2.305 -2.706
2.036 -2.526 1.616
-5.717 -2.360 3.514
Tc Pd Pr
1 1 2
Cartesian
0.662 -2.416 -0.545 Tc
-2.196 -3.596 1.212 Pd
-1.386 -0.572 0.852 Pr
-4.331 -1.788 2.662 Pr
```

=====

No. 11
Computed, not measured: crystalline CaHgCl at its relaxed geometry at the PBE-GGA level of DFT.

## Properties
As for the symmetry: Fmm2, No. 42. Its uncorrected formation energy is -1.13 eV/atom. The calculation puts the polymorph energy (0 for the lowest one) at 0.214 eV/f.u. As for the density of states at the Fermi level: 0.753 states/eV per cell. The total energy comes out at -2.509 eV/atom.

```
CaHgCl
1.0
7.343 0.019 -0.020
6.424 3.522 -0.020
0.919 0.169 3.499
Ca Hg Cl
1 1 1
Cartesian
13.566 3.488 0.016 Ca
9.019 2.295 1.268 Hg
5.867 1.468 2.136 Cl
```

=====

No. 12
Computed, not measured: crystalline Dy2PaAl at its relaxed geometry at the PBE-GGA level of DFT.

## Properties
As for the symmetry: R-3m, No. 166. The calculation puts the formation energy at 0.76 eV/f.u. The calculation puts the polymorph energy (0 for the lowest one) at 1.029 eV/f.u. As for the density of states at the Fermi level: 4.940 states/eV per cell. The total energy comes out at -5.420 eV/atom.

```
Dy2PaAl
1.0
-2.066 1.484 -2.049
0.322 -0.410 -3.225
-7.509 -8.658 -1.304
Dy Al Pa
2 1 1
Cartesian
-3.732 -1.512 -5.144 Dy
-5.521 -6.071 -1.434 Dy
-4.626 -3.792 -3.289 Al
0.000 0.000 0.000 Pa
```

=====

No. 13
Computed, not measured: crystalline BaIr2IF at its relaxed geometry at the PBE-GGA level of DFT.

## Properties
As for the symmetry: P4/mmm, No. 123. Its uncorrected formation energy is 1.77 eV/atom. As for the density of states at the Fermi level: 22.039 states/eV per cell. The total energy comes out at -2.847 eV/atom.

```
BaIr2IF
1.0
5.516 0.000 0.000
0.000 6.527 0.000
0.000 0.000 5.516
Ir Ba I F
2 1 1 1
Cartesian
2.758 0.000 0.000 Ir
0.000 0.000 2.758 Ir
0.000 0.000 0.000 Ba
0.000 3.263 0.000 I
2.758 3.263 2.758 F
```